{"formula": "PmSm2Ag", "functional": "PBE", "state": "relaxed", "relative_energy_mev_per_atom": 115, "magmom_total_mub_per_atom": 0.000, "delta_e_f_mev_per_atom": 2.3, "cell": [[5.603, 0.000, 0.000], [0.000, 5.603, 0.000], [0.000, 0.000, 3.695]], "species": ["Pm", "Sm", "Sm", "Ag"], "frac_coords": [[0.000, 0.000, 0.000], [0.000, 0.500, 0.500], [0.500, 0.000, 0.500], [0.500, 0.500, 0.000]]}

---

{"formula": "Sc4GaOsO", "functional": "PBE", "state": "relaxed", "magmom_total_mub_per_atom": 0.000, "formation_energy_uncorrected_ev_per_fu": -7.083, "cell": [[2.974, -7.193, 0.000], [2.974, 7.193, 0.000], [0.000, 0.000, 5.966]], "species": ["Sc", "Sc", "Sc", "Sc", "Sc", "Sc", "Sc", "Sc", "Ga", "Ga", "Os", "Os", "O", "O"], "frac_coords": [[0.000, 0.500, 0.000], [0.000, 0.500, 0.500], [0.064, 0.936, 0.750], [0.418, 0.582, 0.750], [0.500, 0.000, 0.000], [0.500, 0.000, 0.500], [0.582, 0.418, 0.250], [0.936, 0.064, 0.250], [0.388, 0.612, 0.250], [0.612, 0.388, 0.750], [0.118, 0.882, 0.250], [0.882, 0.118, 0.750], [0.258, 0.742, 0.750], [0.742, 0.258, 0.250]]}